(1)
Compound: MnGaTe3
Source: the Alexandria database
Functional: GGA-PBE
Structure: relaxed

Computed properties:
- Formation energy from raw total energies: 2.0 eV/f.u.
- Symmetry: No. 221

Cell and atoms, written as POSCAR:
```
MnGaTe3
1.0
5.125 0.000 0.000
0.000 5.125 0.000
0.000 0.000 5.125
Mn Ga Te
1 1 3
Direct
0.000 0.000 0.000
0.500 0.500 0.500
0.000 0.000 0.500
0.000 0.500 0.000
0.500 0.000 0.000
```

---

(2)
Compound: MnGaTe2
Source: the Alexandria database
Functional: GGA-PBE
Structure: relaxed

Computed properties:
- Formation energy from raw total energies: 0.8 eV/f.u.
- Symmetry: No. 122

Cell and atoms, written as POSCAR:
```
MnGaTe2
1.0
-3.086 3.086 5.937
3.086 -3.086 5.937
3.086 3.086 -5.937
Mn Ga Te
2 2 4
Direct
0.000 0.000 0.000
0.750 0.250 0.500
0.250 0.750 0.500
0.500 0.500 0.000
0.078 0.625 0.953
0.375 0.328 0.453
0.672 0.125 0.047
0.875 0.922 0.547
```

---

(3)
Compound: MnGaTe3
Source: the Alexandria database
Functional: GGA-PBE
Structure: relaxed

Computed properties:
- Formation energy from raw total energies: -1.0 eV/f.u.
- Symmetry: No. 11

Cell and atoms, written as POSCAR:
```
MnGaTe3
1.0
6.834 0.000 0.000
0.000 4.029 0.000
-0.767 0.000 11.436
Mn Ga Te
2 2 6
Direct
0.055 0.250 0.168
0.945 0.750 0.832
0.482 0.750 0.252
0.518 0.250 0.748
0.132 0.250 0.724
0.244 0.750 0.053
0.335 0.250 0.368
0.665 0.750 0.632
0.756 0.250 0.947
0.868 0.750 0.276
```

---

(4)
Compound: MnGa2Te4
Source: the Alexandria database
Functional: GGA-PBE
Structure: relaxed

Computed properties:
- Formation energy from raw total energies: -1.9 eV/f.u.
- Symmetry: No. 121

Cell and atoms, written as POSCAR:
```
MnGa2Te4
1.0
-3.000 3.000 6.211
3.000 -3.000 6.211
3.000 3.000 -6.211
Mn Ga Te
1 2 4
Direct
0.000 0.000 0.000
0.250 0.750 0.500
0.750 0.250 0.500
0.151 0.151 0.538
0.388 0.849 0.000
0.612 0.612 0.462
0.849 0.388 0.000
```

---

(5)
Compound: MnGaTe3
Source: the Alexandria database
Functional: GGA-PBE
Structure: relaxed

Computed properties:
- Formation energy from raw total energies: 6.2 eV/f.u.
- Symmetry: No. 221

Cell and atoms, written as POSCAR:
```
MnGaTe3
1.0
5.562 0.000 0.000
0.000 5.562 0.000
0.000 0.000 5.562
Mn Ga Te
1 1 3
Direct
0.000 0.000 0.000
0.500 0.500 0.500
0.000 0.500 0.500
0.500 0.000 0.500
0.500 0.500 0.000
```

---

(6)
Compound: MnGaTe2
Source: the Alexandria database
Functional: GGA-PBE
Structure: relaxed

Computed properties:
- Formation energy from raw total energies: 0.9 eV/f.u.
- Symmetry: No. 166

Cell and atoms, written as POSCAR:
```
MnGaTe2
1.0
2.096 1.210 8.236
-2.096 1.210 8.236
0.000 -2.421 8.236
Mn Ga Te
1 1 2
Direct
0.000 0.000 0.000
0.500 0.500 0.500
0.103 0.103 0.103
0.897 0.897 0.897
```

---

Q: Among the records above, which one has the highest formation energy from raw total energies?
A: number 5